A geometry-optimized BiPt4Pb structure, computed with PBE.

a = 5.496 Å, b = 5.496 Å, c = 5.496 Å
α = 60.00°, β = 60.00°, γ = 60.00°
Fractional positions:
Bi  0.000  0.000  0.000
Pt  0.124  0.625  0.625
Pt  0.625  0.124  0.625
Pt  0.625  0.625  0.124
Pt  0.625  0.625  0.625
Pb  0.250  0.250  0.250

Results
Electronic total energy ... -5.400 eV per atom
Symmetry ... F-43m
Energy of formation ... -108 meV per atom
Crystal system ... cubic

=====

A geometry-optimized Sn2Hg7Pb structure, computed with PBE.

a = 10.364 Å, b = 10.364 Å, c = 3.314 Å
α = 90.00°, β = 90.00°, γ = 123.27°
Fractional positions:
Sn  0.170  0.830  0.000
Sn  0.830  0.170  0.000
Hg  0.000  0.000  0.000
Hg  0.169  0.373  0.000
Hg  0.313  0.687  0.500
Hg  0.373  0.169  0.000
Hg  0.627  0.831  0.000
Hg  0.687  0.313  0.500
Hg  0.831  0.627  0.000
Pb  0.500  0.500  0.500

Results
Electronic total energy ... -1.320 eV per atom
Symmetry ... Cmmm
Energy of formation ... 63 meV per atom
Crystal system ... orthorhombic

=====

A geometry-optimized InSnPt6 structure, computed with PBE.

a = 4.052 Å, b = 4.052 Å, c = 8.106 Å
α = 90.00°, β = 90.00°, γ = 90.00°
Fractional positions:
In  0.000  0.000  0.000
Sn  0.000  0.000  0.500
Pt  0.000  0.500  0.250
Pt  0.000  0.500  0.750
Pt  0.500  0.000  0.250
Pt  0.500  0.000  0.750
Pt  0.500  0.500  0.000
Pt  0.500  0.500  0.500

Results
Electronic total energy ... -5.770 eV per atom
Symmetry ... P4/mmm
Energy of formation ... -397 meV per atom
Crystal system ... tetragonal